{
  "formula": "K2CrInF6",
  "functional": "PBE+U",
  "state": "optimized geometry",
  "lattice_angstrom": [[6.030, 0.000, 0.000], [0.000, 8.910, 0.000], [0.000, 0.000, 6.937]],
  "species": ["K", "K", "K", "K", "Cr", "Cr", "In", "In", "F", "F", "F", "F", "F", "F", "F", "F", "F", "F", "F", "F"],
  "fractional_positions": [[0.250, 0.032, 0.195], [0.250, 0.468, 0.195], [0.750, 0.532, 0.805], [0.750, 0.968, 0.805], [0.250, 0.750, 0.807], [0.750, 0.250, 0.193], [0.250, 0.250, 0.700], [0.750, 0.750, 0.300], [0.013, 0.750, 0.618], [0.022, 0.750, 0.011], [0.250, 0.530, 0.813], [0.250, 0.970, 0.813], [0.478, 0.750, 0.011], [0.487, 0.750, 0.618], [0.513, 0.250, 0.382], [0.522, 0.250, 0.989], [0.750, 0.030, 0.187], [0.750, 0.470, 0.187], [0.978, 0.250, 0.989], [0.987, 0.250, 0.382]],
  "dft_energy_ev_per_fu": -49.6,
  "spacegroup": "Pmmn, No. 59"
}